[1]
KSrLa2Co: relaxed, PBE-GGA.

a = 5.4844 Å, b = 5.4844 Å, c = 6.3871 Å
α = 90.00°, β = 90.00°, γ = 90.00°
With the nearest neighbours (Å) after each atom.
Fractional positions:
K: 0.0000 0.0000 0.0000  4 Sr 3.88, 8 La 4.21
Sr: 0.5000 0.5000 0.0000  2 Co 3.19
La: 0.0000 0.5000 0.5000  2 Co 2.74
La: 0.5000 0.0000 0.5000  2 Co 2.74
Co: 0.5000 0.5000 0.5000  4 La 2.74

- ρ (g/cm³) = 4.01

=====

[2]
KSr2LaCo: relaxed, PBE-GGA.

a = 6.3225 Å, b = 6.3225 Å, c = 5.1827 Å
α = 90.00°, β = 90.00°, γ = 90.00°
With the nearest neighbours (Å) after each atom.
Fractional positions:
K: 0.0000 0.0000 0.0000  8 Sr 4.09, 4 La 4.47
Sr: 0.0000 0.5000 0.5000  2 Co 3.16
Sr: 0.5000 0.0000 0.5000  2 Co 3.16
La: 0.5000 0.5000 0.0000  2 Co 2.59
Co: 0.5000 0.5000 0.5000  2 La 2.59

- ρ (g/cm³) = 3.30

=====

[3]
KLa2TlCo: relaxed, PBE-GGA.

a = 5.4279 Å, b = 5.4279 Å, c = 5.3098 Å
α = 90.00°, β = 90.00°, γ = 90.00°
With the nearest neighbours (Å) after each atom.
Fractional positions:
K: 0.0000 0.0000 0.0000  8 La 3.80, 4 Tl 3.84
La: 0.0000 0.5000 0.5000  2 Co 2.71
La: 0.5000 0.0000 0.5000  2 Co 2.71
Tl: 0.5000 0.5000 0.0000  2 Co 2.65
Co: 0.5000 0.5000 0.5000  2 Tl 2.65, 4 La 2.71

- ρ (g/cm³) = 6.16

=====

[4]
KLaTl2Co: relaxed, PBE-GGA.

a = 5.3622 Å, b = 5.3622 Å, c = 4.9850 Å
α = 90.00°, β = 90.00°, γ = 90.00°
With the nearest neighbours (Å) after each atom.
Fractional positions:
K: 0.0000 0.0000 0.0000  8 Tl 3.66, 4 La 3.79
La: 0.5000 0.5000 0.0000  2 Co 2.49
Tl: 0.0000 0.5000 0.5000  2 Co 2.68
Tl: 0.5000 0.0000 0.5000  2 Co 2.68
Co: 0.5000 0.5000 0.5000  2 La 2.49, 4 Tl 2.68

- ρ (g/cm³) = 7.48

=====

| no. | N(E_F) (states/eV/atom) | raw total energy (eV per atom) | volume (Å³/f.u.) |
| --- | --- | --- | --- |
| 1 | 1.217 | -3.83 | 192 |
| 2 | 0.891 | -3.15 | 207 |
| 3 | 1.001 | -4.08 | 156 |
| 4 | 0.597 | -3.66 | 143 |